The following is a PBE with a Hubbard U calculation of LiAlCoO3 after structural relaxation, from Alexandria.

Structure (extended XYZ):
```
12
Lattice="5.298 0.017 0.015 2.221 4.973 0.016 2.226 1.514 4.773" Properties=species:S:1:pos:R:3 pbc="T T T"
O 4.215 5.301 4.411
O 6.187 2.883 2.941
O 2.915 0.705 1.048
O 6.829 5.799 3.755
O 5.530 1.204 0.392
O 3.558 3.622 1.862
Li 1.944 2.498 1.228
Li 7.800 4.007 3.575
Co 5.131 4.585 2.788
Co 4.614 1.920 2.015
Al 3.526 4.687 0.409
Al 6.219 1.818 4.394
```

Results
Fermi-level density of states: 0.00 states/eV per cell
DFT total energy: -6.384 eV/atom
crystal system: triclinic